This record from the Alexandria database describes a crystal of CrCoNi2 relaxed with PBEsol. The functional is meta-GGA SCAN.

## Properties
Energy of formation ... 122 meV/atom

abc: 8.112 2.421 4.296
angles: 90.00 99.19 90.00
Space group Cm (No. 8)
Inequivalent atoms, fractional coordinates:
Cr1 0.000 0.000 0.000 (multiplicity 2)
Co1 0.249 0.000 0.758 (multiplicity 2)
Ni1 0.002 0.500 0.503 (multiplicity 2)
Ni2 0.251 0.500 0.255 (multiplicity 2)


This record from the Alexandria database describes a crystal of AlAsHSe2 relaxed with PBEsol. The functional is meta-GGA SCAN.

## Properties
Raw total energy ... -69.200 eV for the cell shown

abc: 4.799 4.799 3.461
angles: 90.00 90.00 90.00
Space group P4/mmm (No. 123)
Inequivalent atoms, fractional coordinates:
Al1 0.000 0.000 0.000 (multiplicity 1)
As1 0.500 0.500 0.000 (multiplicity 1)
H1 0.500 0.500 0.500 (multiplicity 1)
Se1 0.000 0.500 0.500 (multiplicity 2)


Looking at volume for the records above, in order, we have 41.65, 79.71 Å³/f.u..